(1)
Density functional theory data (PBE) for a relaxed structure of Pm2Zn5Ga.

- calculated volume (Å³ per cell) = 318.28

a b c (Å): 4.4363 8.4029 8.8520
angles (deg): 90.00 90.00 105.31
Positions (direct):
Zn: 0.6497 0.2994 0.4782
Zn: 0.3503 0.7006 0.9782
Zn: 0.5972 0.1945 0.7500
Zn: 0.3503 0.7006 0.5218
Zn: 0.1859 0.3718 0.6066
Zn: 0.8141 0.6282 0.1066
Zn: 0.1859 0.3718 0.8934
Zn: 0.8141 0.6282 0.3934
Zn: 0.4028 0.8055 0.2500
Zn: 0.6497 0.2994 0.0218
Pm: 0.0000 0.0000 0.5000
Pm: 0.7963 0.5926 0.7500
Pm: 0.2037 0.4074 0.2500
Pm: 0.0000 0.0000 0.0000
Ga: 0.5561 0.1122 0.2500
Ga: 0.4439 0.8878 0.7500

***

(2)
Density functional theory data (PBE) for a relaxed structure of Pm4ZnGa.

- calculated volume (Å³ per cell) = 184.09

a b c (Å): 5.0565 5.0567 7.1996
angles (deg): 89.99 90.00 90.00
Positions (direct):
Pm: 0.5013 0.9972 0.2471
Pm: 0.5013 0.9973 0.7491
Pm: 0.0013 0.4972 0.2472
Pm: 0.0013 0.4973 0.7491
Zn: 0.5013 0.4973 0.9981
Ga: 0.0013 0.9973 0.4982

***

(3)
Density functional theory data (PBE) for a relaxed structure of Pm2ZnGa3.

- ΔE to the lowest computed polymorph (eV per atom) = 0.000
- calculated volume (Å³ per cell) = 261.21

a b c (Å): 5.8668 5.8668 8.8482
angles (deg): 112.16 112.16 82.08
Positions (direct):
Pm: 0.2500 0.7500 0.5000
Pm: 0.7500 0.2500 0.5000
Pm: 0.7498 0.2502 0.0000
Pm: 0.2502 0.7498 0.0000
Ga: 0.1672 0.1672 0.3344
Ga: 0.3342 0.3342 0.1675
Ga: 0.8333 0.8333 0.1675
Ga: 0.8328 0.8328 0.6656
Ga: 0.6658 0.6658 0.8325
Ga: 0.1667 0.1667 0.8325
Zn: 0.3331 0.3331 0.6662
Zn: 0.6669 0.6669 0.3338

***

(4)
Density functional theory data (PBE) for a relaxed structure of Pm3Zn7Ga2.

- calculated volume (Å³ per cell) = 250.54

a b c (Å): 4.2168 4.2168 14.4022
angles (deg): 98.42 98.42 90.00
Positions (direct):
Zn: 0.0794 0.5794 0.1587
Zn: 0.2252 0.2252 0.4503
Zn: 0.0000 0.0000 0.0000
Zn: 0.4206 0.9206 0.8413
Zn: 0.5794 0.0794 0.1587
Zn: 0.9206 0.4206 0.8413
Zn: 0.7748 0.7748 0.5497
Pm: 0.5000 0.5000 0.0000
Pm: 0.6671 0.6671 0.3341
Pm: 0.3329 0.3329 0.6659
Ga: 0.8652 0.8652 0.7304
Ga: 0.1348 0.1348 0.2696

***

(5)
Density functional theory data (PBE) for a relaxed structure of Pm2Zn16Ga.

- calculated volume (Å³ per cell) = 313.08

a b c (Å): 6.8364 6.8364 6.8364
angles (deg): 83.09 83.09 83.09
Positions (direct):
Ga: 0.9004 0.9004 0.9004
Pm: 0.3342 0.3342 0.3342
Pm: 0.6662 0.6662 0.6662
Zn: 0.4950 0.0030 0.0030
Zn: 0.0002 0.2992 0.7015
Zn: 0.6485 0.6485 0.1661
Zn: 0.3499 0.8365 0.3499
Zn: 0.8365 0.3499 0.3499
Zn: 0.0971 0.0971 0.0971
Zn: 0.1661 0.6485 0.6485
Zn: 0.7015 0.2992 0.0002
Zn: 0.2992 0.0002 0.7015
Zn: 0.0030 0.4950 0.0030
Zn: 0.0002 0.7015 0.2992
Zn: 0.3499 0.3499 0.8365
Zn: 0.2992 0.7015 0.0002
Zn: 0.0030 0.0030 0.4950
Zn: 0.6485 0.1661 0.6485
Zn: 0.7015 0.0002 0.2992

***

(6)
Density functional theory data (PBE) for a relaxed structure of PmZnGa.

- ΔE to the lowest computed polymorph (eV per atom) = 0.003
- calculated volume (Å³ per cell) = 64.98

a b c (Å): 3.7223 4.4896 4.4896
angles (deg): 120.00 90.00 90.00
Positions (direct):
Ga: 0.1669 0.0000 0.0000
Zn: 0.1665 0.6667 0.3333
Pm: 0.6666 0.3333 0.6667

***

Uncorrected energy values, unit eV per atom, following the record order: -2.77; -3.98; -3.92; -2.68; -1.98; -3.56.